[1]
First-principles (PBE-GGA) data for CdHgB2Cl after structural relaxation, as listed in the Alexandria database.

abc: 4.1979 6.1747 4.1979
angles: 90.00 90.00 90.00
Atoms (fractional coordinates):
B (0.0000, 0.0000, 0.5000)
B (0.5000, 0.0000, 0.0000)
Cl (0.5000, 0.5000, 0.5000)
Hg (0.0000, 0.0000, 0.0000)
Cd (0.0000, 0.5000, 0.0000)

Computed properties:
Space-group type   P4/mmm
Total magnetic moment   0.0 Bohr magnetons per cell
VASP energy   -10.38 eV per cell
ΔE_f (raw)   1.207 eV/atom

[2]
First-principles (PBE-GGA) data for LiNiI after structural relaxation, as listed in the Alexandria database.

abc: 27.2311 9.0430 9.0430
angles: 152.86 164.46 15.54
Atoms (fractional coordinates):
I (0.8015, 0.8873, 0.1127)
I (0.5806, 0.4998, 0.5002)
Ni (0.6936, 0.1874, 0.8126)
Ni (0.0883, 0.0172, 0.9828)
Li (0.9702, 0.3447, 0.6553)
Li (0.3835, 0.1224, 0.8776)

Computed properties:
Distance to the lowest polymorph of the same formula   0.002 eV per atom
Space-group type   Cm
Total magnetic moment   0.4 Bohr magnetons per cell
VASP energy   -20.07 eV per cell
ΔE_f (raw)   -0.263 eV/atom

[3]
First-principles (PBE-GGA) data for K3Cd8Sn3 after structural relaxation, as listed in the Alexandria database.

abc: 5.1156 9.7004 9.2806
angles: 66.53 74.00 74.71
Atoms (fractional coordinates):
K (0.3002, 0.6970, 0.7026)
K (0.6998, 0.3030, 0.2974)
K (0.0000, 0.0000, 0.0000)
Cd (0.1366, 0.1536, 0.5733)
Cd (0.8634, 0.8464, 0.4267)
Cd (0.8533, 0.4253, 0.8682)
Cd (0.1467, 0.5747, 0.1318)
Cd (0.4987, 0.6933, 0.3093)
Cd (0.5013, 0.3067, 0.6907)
Cd (0.3390, 0.0107, 0.3113)
Cd (0.6610, 0.9893, 0.6887)
Sn (0.0000, 0.5000, 0.5000)
Sn (0.6617, 0.7073, 0.9694)
Sn (0.3383, 0.2927, 0.0306)

Computed properties:
Distance to the lowest polymorph of the same formula   0.000 eV per atom
Energy relative to the elements   -0.12 eV/atom
Space-group type   C2/m
Total magnetic moment   0.0 Bohr magnetons per cell
VASP energy   -24.33 eV per cell

[4]
First-principles (PBE-GGA) data for RuS after structural relaxation, as listed in the Alexandria database.

abc: 10.0840 10.0840 3.7068
angles: 90.00 90.00 90.00
Atoms (fractional coordinates):
Ru (0.7854, 0.3984, 0.5000)
Ru (0.2146, 0.6016, 0.5000)
Ru (0.6016, 0.7854, 0.5000)
Ru (0.3984, 0.2146, 0.5000)
Ru (0.8828, 0.5716, 0.0000)
Ru (0.1172, 0.4284, 0.0000)
Ru (0.4284, 0.8828, 0.0000)
Ru (0.5716, 0.1172, 0.0000)
S (0.7619, 0.6310, 0.5000)
S (0.2381, 0.3690, 0.5000)
S (0.3690, 0.7619, 0.5000)
S (0.6310, 0.2381, 0.5000)
S (0.9062, 0.3461, 0.0000)
S (0.0938, 0.6539, 0.0000)
S (0.6539, 0.9062, 0.0000)
S (0.3461, 0.0938, 0.0000)

Computed properties:
Space-group type   P4/m
Total magnetic moment   0.0 Bohr magnetons per cell
VASP energy   -109.64 eV per cell
ΔE_f (raw)   -0.151 eV/atom

[5]
First-principles (PBE-GGA) data for Ta12MnGa6 after structural relaxation, as listed in the Alexandria database.

abc: 7.2450 7.2450 7.2450
angles: 99.81 99.81 99.81
Atoms (fractional coordinates):
Ta (0.7899, 0.5939, 0.4910)
Ta (0.4910, 0.7899, 0.5939)
Ta (0.5939, 0.4910, 0.7899)
Ta (0.2101, 0.4061, 0.5090)
Ta (0.5090, 0.2101, 0.4061)
Ta (0.4061, 0.5090, 0.2101)
Ta (0.0768, 0.0236, 0.3321)
Ta (0.9764, 0.6679, 0.9232)
Ta (0.6679, 0.9232, 0.9764)
Ta (0.9232, 0.9764, 0.6679)
Ta (0.0236, 0.3321, 0.0768)
Ta (0.3321, 0.0768, 0.0236)
Mn (0.0000, 0.0000, 0.0000)
Ga (0.6710, 0.8887, 0.3243)
Ga (0.6757, 0.3290, 0.1113)
Ga (0.1113, 0.6757, 0.3290)
Ga (0.3290, 0.1113, 0.6757)
Ga (0.3243, 0.6710, 0.8887)
Ga (0.8887, 0.3243, 0.6710)

Computed properties:
Energy relative to the elements   0.36 eV/atom
Space-group type   R-3
Total magnetic moment   0.0 Bohr magnetons per cell
VASP energy   -162.64 eV per cell

[6]
First-principles (PBE-GGA) data for ZrTi2In2 after structural relaxation, as listed in the Alexandria database.

abc: 7.8725 7.8725 3.3255
angles: 90.00 90.00 90.00
Atoms (fractional coordinates):
Ti (0.1738, 0.6738, 0.5000)
Ti (0.6738, 0.8262, 0.5000)
Ti (0.8262, 0.3262, 0.5000)
Ti (0.3262, 0.1738, 0.5000)
Zr (0.0000, 0.0000, 0.0000)
Zr (0.5000, 0.5000, 0.0000)
In (0.3716, 0.8716, 0.0000)
In (0.8716, 0.6284, 0.0000)
In (0.6284, 0.1284, 0.0000)
In (0.1284, 0.3716, 0.0000)

Computed properties:
Distance to the lowest polymorph of the same formula   0.000 eV per atom
Energy relative to the elements   -0.05 eV/atom
Space-group type   P4/mbm
Total magnetic moment   0.0 Bohr magnetons per cell
VASP energy   -60.13 eV per cell

[7]
First-principles (PBE-GGA) data for Li4Ca3Au4 after structural relaxation, as listed in the Alexandria database.

abc: 4.2444 7.6383 8.5146
angles: 116.65 104.43 90.00
Atoms (fractional coordinates):
Li (0.3249, 0.1315, 0.6498)
Li (0.6751, 0.4817, 0.3502)
Li (0.6751, 0.8685, 0.3502)
Li (0.3249, 0.5183, 0.6498)
Ca (0.1222, 0.1222, 0.2444)
Ca (0.8778, 0.8778, 0.7556)
Ca (0.0000, 0.5000, 0.0000)
Au (0.2211, 0.7211, 0.4423)
Au (0.7789, 0.2789, 0.5577)
Au (0.5000, 0.8055, 0.0000)
Au (0.5000, 0.1945, 0.0000)

Computed properties:
Distance to the lowest polymorph of the same formula   0.000 eV per atom
Energy relative to the elements   -0.60 eV/atom
Space-group type   Immm
Total magnetic moment   0.0 Bohr magnetons per cell
VASP energy   -33.35 eV per cell

[8]
First-principles (PBE-GGA) data for Ac2TlAg4 after structural relaxation, as listed in the Alexandria database.

abc: 5.1849 5.1849 9.1335
angles: 106.49 106.49 90.00
Atoms (fractional coordinates):
Ac (0.6398, 0.6398, 0.2796)
Ac (0.3602, 0.3602, 0.7204)
Tl (0.0000, 0.0000, 0.0000)
Ag (0.8284, 0.8284, 0.6568)
Ag (0.1716, 0.1716, 0.3432)
Ag (0.0000, 0.5000, 0.0000)
Ag (0.5000, 0.0000, 0.0000)

Computed properties:
Energy relative to the elements   0.16 eV/atom
Space-group type   I4/mmm
Total magnetic moment   0.0 Bohr magnetons per cell
VASP energy   -20.86 eV per cell

[9]
First-principles (PBE-GGA) data for Li2MnW after structural relaxation, as listed in the Alexandria database.

abc: 2.4863 4.0476 5.6959
angles: 90.00 90.00 90.00
Atoms (fractional coordinates):
Li (0.0000, 0.0000, 0.0156)
Li (0.5000, 0.5000, 0.2409)
Mn (0.0000, 0.0000, 0.5270)
W (0.5000, 0.5000, 0.7165)

Computed properties:
Distance to the lowest polymorph of the same formula   0.150 eV per atom
Energy relative to the elements   0.46 eV/atom
Space-group type   Pmm2
Total magnetic moment   0.0 Bohr magnetons per cell
VASP energy   -24.13 eV per cell

[10]
First-principles (PBE-GGA) data for ScTiSnMo after structural relaxation, as listed in the Alexandria database.

abc: 4.7010 4.7010 4.7010
angles: 60.00 60.00 60.00
Atoms (fractional coordinates):
Sc (0.7500, 0.7500, 0.7500)
Mo (0.0000, 0.0000, 0.0000)
Sn (0.5000, 0.5000, 0.5000)
Ti (0.2500, 0.2500, 0.2500)

Computed properties:
Energy relative to the elements   -0.24 eV/atom
Space-group type   F-43m
Total magnetic moment   0.0 Bohr magnetons per cell
VASP energy   -30.00 eV per cell

[11]
First-principles (PBE-GGA) data for BaTlZnO3 after structural relaxation, as listed in the Alexandria database.

abc: 6.0000 6.0000 6.9974
angles: 70.65 70.65 76.57
Atoms (fractional coordinates):
Ba (0.7031, 0.7031, 0.8626)
Ba (0.2969, 0.2969, 0.1374)
Tl (0.0970, 0.0970, 0.7798)
Tl (0.9030, 0.9030, 0.2202)
Zn (0.3227, 0.6773, 0.5000)
Zn (0.6773, 0.3227, 0.5000)
O (0.3208, 0.3208, 0.5069)
O (0.1662, 0.6982, 0.7831)
O (0.6982, 0.1662, 0.7831)
O (0.3018, 0.8338, 0.2169)
O (0.8338, 0.3018, 0.2169)
O (0.6792, 0.6792, 0.4931)

Computed properties:
Space-group type   C2/m
Total magnetic moment   0.0 Bohr magnetons per cell
VASP energy   -57.95 eV per cell
ΔE_f (raw)   -1.423 eV/atom

[12]
First-principles (PBE-GGA) data for K2CaSb after structural relaxation, as listed in the Alexandria database.

abc: 4.8859 4.8859 13.7202
angles: 79.74 79.74 90.00
Atoms (fractional coordinates):
Sb (0.0000, 0.0000, 0.0000)
Sb (0.7500, 0.2500, 0.5000)
Ca (0.5000, 0.5000, 0.0000)
Ca (0.2500, 0.7500, 0.5000)
K (0.6535, 0.1250, 0.2500)
K (0.0965, 0.6250, 0.2500)
K (0.3750, 0.3465, 0.7500)
K (0.8750, 0.9035, 0.7500)

Computed properties:
Space-group type   I-42d
Total magnetic moment   1.3 Bohr magnetons per cell
VASP energy   -17.93 eV per cell
ΔE_f (raw)   -0.161 eV/atom

[13]
First-principles (PBE-GGA) data for Tb5MgPb4 after structural relaxation, as listed in the Alexandria database.

abc: 3.6286 9.5632 8.9682
angles: 87.73 101.67 90.00
Atoms (fractional coordinates):
Tb (0.8105, 0.6064, 0.6210)
Tb (0.8497, 0.2287, 0.6994)
Tb (0.1503, 0.7713, 0.3006)
Tb (0.5000, 0.5000, 0.0000)
Tb (0.1895, 0.3936, 0.3790)
Mg (0.5000, 0.0000, 0.0000)
Pb (0.3225, 0.9224, 0.6451)
Pb (0.9677, 0.7666, 0.9354)
Pb (0.6775, 0.0776, 0.3549)
Pb (0.0323, 0.2334, 0.0646)

Computed properties:
Energy relative to the elements   -0.15 eV/atom
Space-group type   C2/m
Total magnetic moment   0.0 Bohr magnetons per cell
VASP energy   -41.08 eV per cell